# GGA-PBE SrZn2As2O8, relaxed
data_SrZn2As2O8
_chemical_formula_sum 'Sr4 Zn8 As8 O32'
_symmetry_space_group_name_H-M 'P 1 21/c 1'
_symmetry_Int_Tables_number 14
_symmetry_space_group_name_Hall '-P 2ybc'
_cell_length_a 8.736
_cell_length_b 9.916
_cell_length_c 9.426
_cell_angle_alpha 90.00
_cell_angle_beta 91.97
_cell_angle_gamma 90.00
loop_
_atom_site_label
_atom_site_type_symbol
_atom_site_fract_x
_atom_site_fract_y
_atom_site_fract_z
Sr1 Sr 0.247 0.083 0.115
Zn1 Zn 0.075 0.686 0.050
Zn2 Zn 0.428 0.073 0.720
As1 As 0.061 0.083 0.750
As2 As 0.449 0.705 0.063
O1 O 0.021 0.065 0.311
O2 O 0.060 0.625 0.615
O3 O 0.071 0.200 0.617
O4 O 0.240 0.067 0.833
O5 O 0.282 0.632 0.002
O6 O 0.419 0.209 0.569
O7 O 0.427 0.632 0.621
O8 O 0.472 0.103 0.304
# - Density of states at the Fermi level: 0.0 states/eV/f.u.
# - Uncorrected formation energy: -163.9 kJ/mol of atoms